First-principles (PBE-GGA) data for a relaxed AcMnAl4 crystal, as listed in Alexandria.

Cell: 7.8879 4.1286 7.3700 Å, 90.00 90.00 90.00°
Element x y z (fractional)
Ac 0.2500 0.0000 0.1143
Ac 0.7500 0.0000 0.8857
Mn 0.2500 0.0000 0.6831
Mn 0.7500 0.0000 0.3169
Al 0.0000 0.0000 0.5000
Al 0.0724 0.5000 0.7801
Al 0.2500 0.5000 0.4592
Al 0.4276 0.5000 0.7801
Al 0.5000 0.0000 0.5000
Al 0.5724 0.5000 0.2199
Al 0.7500 0.5000 0.5408
Al 0.9276 0.5000 0.2199

Output
- ΔE_f (meV per atom) = -299.5
- mass density (Mg/m³) = 5.4
- calculated total energy (eV/atom) = -5.01